Density functional theory data (PBE) for InGaHg2I after structural relaxation.

Output
- Calculated volume: 317 Å³ per cell
- Calculated density: 7.46 g cm⁻³
- Total DFT energy (no corrections): -16.81 eV per cell
- E_form (uncorrected): -0.097 eV/atom
- Excess energy over the best structure of this formula in the dataset: 0.002 eV/atom

Cell lengths 5.485, 6.364, 9.091 Å; angles 88.68, 90.00, 90.00 degrees
Positions (direct):
Hg  0.250  0.995  0.153
Hg  0.750  0.005  0.847
I  0.750  0.470  0.165
In  0.750  0.367  0.495
Ga  0.250  0.003  0.825
I  0.250  0.530  0.835
Ga  0.750  0.997  0.175
In  0.250  0.633  0.505
Hg  0.250  0.131  0.502
Hg  0.750  0.869  0.498

Density functional theory data (PBE) for InGaHg2I after structural relaxation.

Output
- Calculated volume: 174 Å³ per cell
- Calculated density: 6.80 g cm⁻³
- Total DFT energy (no corrections): -7.81 eV per cell
- E_form (uncorrected): 0.022 eV/atom
- Excess energy over the best structure of this formula in the dataset: 0.121 eV/atom

Cell lengths 5.611, 5.611, 5.526 Å; angles 90.00, 90.00, 90.00 degrees
Positions (direct):
Ga  0.000  0.000  0.500
Hg  0.500  0.000  0.000
Hg  0.000  0.500  0.000
I  0.500  0.500  0.500
In  0.000  0.000  0.000